Entry 1:
Compound: CsBaTc2
Source: Alexandria via LeMat-Bulk
Functional: PBEsol
Structure: optimized geometry

Results
The theoretical density comes out at 7.90 g/cm³. The calculation puts the density of states at the Fermi level at 4.6 states/eV/f.u. The calculated formation energy comes out at 801.3 kJ/mol of formula units.

a b c (Å): 5.1742 5.1742 5.1742
angles (deg): 60.00 60.00 60.00
Atoms (fractional coordinates):
Cs 0.0000 0.0000 0.0000
Ba 0.5000 0.5000 0.5000
Tc 0.2500 0.2500 0.2500
Tc 0.7500 0.7500 0.7500



Entry 2:
Compound: CsBa3Tl
Source: Alexandria via LeMat-Bulk
Functional: PBEsol
Structure: optimized geometry

Results
The theoretical density comes out at 3.91 g/cm³. The calculation puts the density of states at the Fermi level at 6.2 states/eV/f.u. The calculated formation energy comes out at -22.8 kJ/mol of formula units.

a b c (Å): 6.8287 6.8287 6.8287
angles (deg): 90.00 90.00 90.00
Atoms (fractional coordinates):
Cs 0.0000 0.0000 0.0000
Ba 0.0000 0.5000 0.5000
Ba 0.5000 0.0000 0.5000
Ba 0.5000 0.5000 0.0000
Tl 0.5000 0.5000 0.5000



Entry 3:
Compound: CsBaTl2
Source: Alexandria via LeMat-Bulk
Functional: PBEsol
Structure: optimized geometry

Results
The theoretical density comes out at 7.18 g/cm³. The calculation puts the density of states at the Fermi level at 2.7 states/eV/f.u. The calculated formation energy comes out at -52.1 kJ/mol of formula units.

a b c (Å): 6.0553 6.0553 6.0553
angles (deg): 60.00 60.00 60.00
Atoms (fractional coordinates):
Cs 0.0000 0.0000 0.0000
Ba 0.5000 0.5000 0.5000
Tl 0.2500 0.2500 0.2500
Tl 0.7500 0.7500 0.7500



Entry 4:
Compound: CsBa2Y
Source: Alexandria via LeMat-Bulk
Functional: PBEsol
Structure: optimized geometry

Results
The theoretical density comes out at 4.03 g/cm³. The calculation puts the density of states at the Fermi level at 7.5 states/eV/f.u. The calculated formation energy comes out at 157.1 kJ/mol of formula units.

a b c (Å): 6.6127 6.6127 6.6127
angles (deg): 60.00 60.00 60.00
Atoms (fractional coordinates):
Cs 0.0000 0.0000 0.0000
Ba 0.2500 0.2500 0.2500
Ba 0.7500 0.7500 0.7500
Y 0.5000 0.5000 0.5000



Entry 5:
Compound: Cs2BaZn2
Source: Alexandria via LeMat-Bulk
Functional: PBEsol
Structure: optimized geometry

Results
The theoretical density comes out at 4.19 g/cm³. The calculation puts the density of states at the Fermi level at 5.8 states/eV/f.u. The calculated formation energy comes out at 115.7 kJ/mol of formula units.

a b c (Å): 8.6334 8.6334 8.6334
angles (deg): 144.89 144.89 50.50
Atoms (fractional coordinates):
Cs 0.2500 0.7500 0.5000
Cs 0.7500 0.2500 0.5000
Ba 0.0000 0.0000 0.0000
Zn 0.4219 0.4219 0.0000
Zn 0.5781 0.5781 0.0000



Entry 6:
Compound: BaCu2
Source: Alexandria via LeMat-Bulk
Functional: PBEsol
Structure: optimized geometry

Results
The theoretical density comes out at 6.25 g/cm³. The calculation puts the density of states at the Fermi level at 1.2 states/eV/f.u. The calculated formation energy comes out at 17.0 kJ/mol of formula units.

a b c (Å): 7.9630 7.9630 7.9630
angles (deg): 148.11 148.11 45.73
Atoms (fractional coordinates):
Ba 0.3750 0.6250 0.7500
Ba 0.6250 0.3750 0.2500
Cu 0.0412 0.7912 0.2500
Cu 0.2088 0.9588 0.2500
Cu 0.7912 0.0412 0.7500
Cu 0.9588 0.2088 0.7500



Entry 7:
Compound: Ba2Cu3
Source: Alexandria via LeMat-Bulk
Functional: PBEsol
Structure: optimized geometry

Results
The theoretical density comes out at 5.66 g/cm³. The calculation puts the density of states at the Fermi level at 2.3 states/eV/f.u. The calculated formation energy comes out at 61.1 kJ/mol of formula units.

a b c (Å): 8.5851 8.5851 8.5851
angles (deg): 29.57 29.57 29.57
Atoms (fractional coordinates):
Ba 0.0859 0.0859 0.0859
Ba 0.9141 0.9141 0.9141
Cu 0.3336 0.3336 0.3336
Cu 0.5000 0.5000 0.5000
Cu 0.6664 0.6664 0.6664



Entry 8:
Compound: BaCu2
Source: Alexandria via LeMat-Bulk
Functional: PBEsol
Structure: optimized geometry

Results
The theoretical density comes out at 6.58 g/cm³. The calculation puts the density of states at the Fermi level at 2.2 states/eV/f.u. The calculated formation energy comes out at 92.1 kJ/mol of formula units.

a b c (Å): 3.4909 3.4909 5.4718
angles (deg): 90.00 90.00 90.00
Atoms (fractional coordinates):
Ba 0.0000 0.0000 0.0000
Cu 0.0000 0.5000 0.5000
Cu 0.5000 0.0000 0.5000